DFT (meta-GGA SCAN) results for a crystal of BaPPt relaxed with PBEsol.

Calculated values
V = 276.76 Å³/cell
Calculated formation energy = -1.25 eV/atom
Electronic total energy = -41.30 eV/atom
SG = No. 198
Spin magnetization = 0.00 μB/cell

Cell: 6.517 6.517 6.517 Å, 90.00 90.00 90.00°
Element x y z (fractional)
Ba 0.140 0.140 0.140
Ba 0.360 0.860 0.640
Ba 0.640 0.360 0.860
Ba 0.860 0.640 0.360
P 0.084 0.584 0.916
P 0.416 0.416 0.416
P 0.584 0.916 0.084
P 0.916 0.084 0.584
Pt 0.151 0.349 0.651
Pt 0.349 0.651 0.151
Pt 0.651 0.151 0.349
Pt 0.849 0.849 0.849